1.
# CaTl2CdRh, optimized geometry, DFT PBE-GGA
# Volume = 29.97 Å³ per atom
# SG = P4/mmm
# ΔE to the lowest computed polymorph = 0.0000 eV per atom
# ΔE_f = -0.13 eV/atom
# Electronic total energy = -3.128 eV/atom
# Total magnetization = 0.000 μB/cell
data_CaTl2CdRh
_chemical_formula_sum 'Ca1 Tl2 Cd1 Rh1'
_cell_length_a 5.285
_cell_length_b 5.285
_cell_length_c 5.365
_cell_angle_alpha 90.00
_cell_angle_beta 90.00
_cell_angle_gamma 90.00
_symmetry_space_group_name_H-M 'P 1'
_symmetry_Int_Tables_number 1
_symmetry_space_group_name_Hall 'P 1'
loop_
_atom_site_label
_atom_site_type_symbol
_atom_site_fract_x
_atom_site_fract_y
_atom_site_fract_z
Tl1 Tl 0.000 0.500 0.000
Tl2 Tl 0.500 0.000 0.000
Rh1 Rh 0.000 0.000 0.000
Ca1 Ca 0.000 0.000 0.500
Cd1 Cd 0.500 0.500 0.500

---

2.
# CaTl2CdRh, optimized geometry, DFT PBE-GGA
# Volume = 28.63 Å³ per atom
# SG = P4/mmm
# ΔE to the lowest computed polymorph = 0.0585 eV per atom
# ΔE_f = -0.07 eV/atom
# Electronic total energy = -3.069 eV/atom
# Total magnetization = 0.000 μB/cell
data_CaTl2CdRh
_chemical_formula_sum 'Ca1 Tl2 Cd1 Rh1'
_cell_length_a 5.226
_cell_length_b 5.226
_cell_length_c 5.242
_cell_angle_alpha 90.00
_cell_angle_beta 90.00
_cell_angle_gamma 90.00
_symmetry_space_group_name_H-M 'P 1'
_symmetry_Int_Tables_number 1
_symmetry_space_group_name_Hall 'P 1'
loop_
_atom_site_label
_atom_site_type_symbol
_atom_site_fract_x
_atom_site_fract_y
_atom_site_fract_z
Tl1 Tl 0.000 0.500 0.000
Tl2 Tl 0.500 0.000 0.000
Rh1 Rh 0.000 0.000 0.000
Ca1 Ca 0.500 0.500 0.500
Cd1 Cd 0.000 0.000 0.500

---

3.
# Ca2YCdRh, optimized geometry, DFT PBE-GGA
# Volume = 31.99 Å³ per atom
# SG = P4/mmm
# ΔE_f = -0.26 eV/atom
# Electronic total energy = -4.004 eV/atom
# Total magnetization = 0.000 μB/cell
data_Ca2YCdRh
_chemical_formula_sum 'Ca2 Y1 Cd1 Rh1'
_cell_length_a 5.491
_cell_length_b 5.491
_cell_length_c 5.305
_cell_angle_alpha 90.00
_cell_angle_beta 90.00
_cell_angle_gamma 90.00
_symmetry_space_group_name_H-M 'P 1'
_symmetry_Int_Tables_number 1
_symmetry_space_group_name_Hall 'P 1'
loop_
_atom_site_label
_atom_site_type_symbol
_atom_site_fract_x
_atom_site_fract_y
_atom_site_fract_z
Y1 Y 0.000 0.000 0.500
Ca1 Ca 0.000 0.500 0.000
Ca2 Ca 0.500 0.000 0.000
Rh1 Rh 0.000 0.000 0.000
Cd1 Cd 0.500 0.500 0.500

---

4.
# CaZn2CdRh, optimized geometry, DFT PBE-GGA
# Volume = 23.75 Å³ per atom
# SG = P4/mmm
# ΔE_f = -0.17 eV/atom
# Electronic total energy = -2.729 eV/atom
# Total magnetization = 0.000 μB/cell
data_CaZn2CdRh
_chemical_formula_sum 'Ca1 Zn2 Cd1 Rh1'
_cell_length_a 4.808
_cell_length_b 4.808
_cell_length_c 5.138
_cell_angle_alpha 90.00
_cell_angle_beta 90.00
_cell_angle_gamma 90.00
_symmetry_space_group_name_H-M 'P 1'
_symmetry_Int_Tables_number 1
_symmetry_space_group_name_Hall 'P 1'
loop_
_atom_site_label
_atom_site_type_symbol
_atom_site_fract_x
_atom_site_fract_y
_atom_site_fract_z
Zn1 Zn 0.000 0.500 0.000
Zn2 Zn 0.500 0.000 0.000
Rh1 Rh 0.000 0.000 0.000
Ca1 Ca 0.500 0.500 0.500
Cd1 Cd 0.000 0.000 0.500

---

5.
# CaZnCd2Rh, optimized geometry, DFT PBE-GGA
# Volume = 25.53 Å³ per atom
# SG = P4/mmm
# ΔE_f = -0.12 eV/atom
# Electronic total energy = -2.613 eV/atom
# Total magnetization = 0.000 μB/cell
data_CaZnCd2Rh
_chemical_formula_sum 'Ca1 Zn1 Cd2 Rh1'
_cell_length_a 5.156
_cell_length_b 5.156
_cell_length_c 4.801
_cell_angle_alpha 90.00
_cell_angle_beta 90.00
_cell_angle_gamma 90.00
_symmetry_space_group_name_H-M 'P 1'
_symmetry_Int_Tables_number 1
_symmetry_space_group_name_Hall 'P 1'
loop_
_atom_site_label
_atom_site_type_symbol
_atom_site_fract_x
_atom_site_fract_y
_atom_site_fract_z
Zn1 Zn 0.000 0.000 0.500
Rh1 Rh 0.000 0.000 0.000
Ca1 Ca 0.500 0.500 0.500
Cd1 Cd 0.000 0.500 0.000
Cd2 Cd 0.500 0.000 0.000

---

6.
# Ca3ZnCd2Rh3, optimized geometry, DFT PBE-GGA
# Volume = 21.02 Å³ per atom
# SG = P-62m
# ΔE_f = -0.29 eV/atom
# Electronic total energy = -3.752 eV/atom
# Total magnetization = 0.000 μB/cell
data_Ca3ZnCd2Rh3
_chemical_formula_sum 'Ca3 Zn1 Cd2 Rh3'
_cell_length_a 4.152
_cell_length_b 7.253
_cell_length_c 7.253
_cell_angle_alpha 120.00
_cell_angle_beta 90.00
_cell_angle_gamma 90.00
_symmetry_space_group_name_H-M 'P 1'
_symmetry_Int_Tables_number 1
_symmetry_space_group_name_Hall 'P 1'
loop_
_atom_site_label
_atom_site_type_symbol
_atom_site_fract_x
_atom_site_fract_y
_atom_site_fract_z
Ca1 Ca 0.000 0.000 0.384
Ca2 Ca 0.000 0.616 0.616
Ca3 Ca 0.000 0.384 0.000
Zn1 Zn 0.000 0.000 0.000
Cd1 Cd 0.500 0.333 0.667
Cd2 Cd 0.500 0.667 0.333
Rh1 Rh 0.500 0.773 0.000
Rh2 Rh 0.500 0.227 0.227
Rh3 Rh 0.500 0.000 0.773